1.
Compound: Tl8S5I
Source: the Alexandria database
Functional: PBE-GGA
Structure: relaxed

* DFT total energy: -3.142 eV per atom
* density of states at the Fermi level: 42.91 states/eV per cell
* E_form (uncorrected): -0.21 eV/atom
* total magnetization: 0.00 μB per formula unit

```
data_Tl8S5I
_chemical_formula_sum 'Tl32 S20 I4'
_symmetry_space_group_name_H-M 'F -4 3 m'
_symmetry_Int_Tables_number 216
_symmetry_space_group_name_Hall 'F -4 2 3'
_cell_length_a 12.7424
_cell_length_b 12.7424
_cell_length_c 12.7424
_cell_angle_alpha 90.00
_cell_angle_beta 90.00
_cell_angle_gamma 90.00
loop_
_atom_site_label
_atom_site_type_symbol
_atom_site_fract_x
_atom_site_fract_y
_atom_site_fract_z
Tl1 Tl 0.1027 0.1027 0.1027
Tl2 Tl 0.1353 0.1353 0.6353
S1 S 0.0000 0.0000 0.5000
S2 S 0.1282 0.1282 0.8718
I1 I 0.2500 0.2500 0.2500
```

2.
Compound: Y3Er2Tm4
Source: the Alexandria database
Functional: PBE-GGA
Structure: relaxed

* formation enthalpy at 0 K: 0.108 eV per atom
* DFT total energy: -5.048 eV per atom
* density of states at the Fermi level: 57.06 states/eV per cell
* total magnetization: 0.00 μB per formula unit

```
data_Y3Er2Tm4
_chemical_formula_sum 'Y12 Er8 Tm16'
_symmetry_space_group_name_H-M 'C 1 2/c 1'
_symmetry_Int_Tables_number 15
_symmetry_space_group_name_Hall '-C 2yc'
_cell_length_a 16.0984
_cell_length_b 11.4574
_cell_length_c 6.0754
_cell_angle_alpha 90.00
_cell_angle_beta 95.99
_cell_angle_gamma 90.00
loop_
_atom_site_label
_atom_site_type_symbol
_atom_site_fract_x
_atom_site_fract_y
_atom_site_fract_z
Y1 Y 0.0000 0.0976 0.2500
Y2 Y 0.1664 0.4024 0.0853
Er1 Er 0.1208 0.1418 0.8192
Tm1 Tm 0.0462 0.3587 0.5148
Tm2 Tm 0.2134 0.1410 0.3480
```

3.
Compound: AcPm12Sm6
Source: the Alexandria database
Functional: PBE-GGA
Structure: relaxed

* formation enthalpy at 0 K: 0.190 eV per atom
* DFT total energy: -4.517 eV per atom
* density of states at the Fermi level: 102.36 states/eV per cell
* total magnetization: 0.00 μB per formula unit

```
data_AcPm12Sm6
_chemical_formula_sum 'Ac3 Pm36 Sm18'
_symmetry_space_group_name_H-M 'R -3 m'
_symmetry_Int_Tables_number 166
_symmetry_space_group_name_Hall '-R 3 2"'
_cell_length_a 13.6215
_cell_length_b 13.6215
_cell_length_c 12.7169
_cell_angle_alpha 90.00
_cell_angle_beta 90.00
_cell_angle_gamma 120.00
loop_
_atom_site_label
_atom_site_type_symbol
_atom_site_fract_x
_atom_site_fract_y
_atom_site_fract_z
Ac1 Ac 0.0000 0.0000 0.0000
Pm1 Pm 0.0000 0.2600 0.5000
Pm2 Pm 0.0911 0.1823 0.2641
Sm1 Sm 0.0367 0.5184 0.6183
```

4.
Compound: Li2InAg4
Source: the Alexandria database
Functional: PBE-GGA
Structure: relaxed

* formation enthalpy at 0 K: 0.340 eV per atom
* DFT total energy: -2.228 eV per atom
* offset from the most stable computed form: 442 meV/atom
* density of states at the Fermi level: 4.75 states/eV per cell
* total magnetization: 0.00 μB per formula unit

```
data_Li2InAg4
_chemical_formula_sum 'Li4 In2 Ag8'
_symmetry_space_group_name_H-M 'I 4/m m m'
_symmetry_Int_Tables_number 139
_symmetry_space_group_name_Hall '-I 4 2'
_cell_length_a 5.1579
_cell_length_b 5.1579
_cell_length_c 13.7640
_cell_angle_alpha 90.00
_cell_angle_beta 90.00
_cell_angle_gamma 90.00
loop_
_atom_site_label
_atom_site_type_symbol
_atom_site_fract_x
_atom_site_fract_y
_atom_site_fract_z
Li1 Li 0.0000 0.0000 0.1044
In1 In 0.0000 0.0000 0.5000
Ag1 Ag 0.0000 0.0000 0.2996
Ag2 Ag 0.0000 0.5000 0.0000
```

5.
Compound: Tm2Zn3Ga2
Source: the Alexandria database
Functional: PBE-GGA
Structure: relaxed

* formation enthalpy at 0 K: -0.445 eV per atom
* DFT total energy: -3.134 eV per atom
* offset from the most stable computed form: 0 meV/atom
* density of states at the Fermi level: 6.73 states/eV per cell
* total magnetization: 0.00 μB per formula unit

```
data_Tm2Zn3Ga2
_chemical_formula_sum 'Tm4 Zn6 Ga4'
_symmetry_space_group_name_H-M 'C 1 2/m 1'
_symmetry_Int_Tables_number 12
_symmetry_space_group_name_Hall '-C 2y'
_cell_length_a 10.3620
_cell_length_b 4.2642
_cell_length_c 6.4812
_cell_angle_alpha 90.00
_cell_angle_beta 112.87
_cell_angle_gamma 90.00
loop_
_atom_site_label
_atom_site_type_symbol
_atom_site_fract_x
_atom_site_fract_y
_atom_site_fract_z
Tm1 Tm 0.1521 0.0000 0.2666
Zn1 Zn 0.0000 0.5000 0.5000
Zn2 Zn 0.0925 0.5000 0.9226
Ga1 Ga 0.1493 0.0000 0.7453
```

6.
Compound: Tm2SbRh
Source: the Alexandria database
Functional: PBE-GGA
Structure: relaxed

* DFT total energy: -5.935 eV per atom
* density of states at the Fermi level: 0.58 states/eV per cell
* E_form (uncorrected): -0.83 eV/atom
* total magnetization: 0.00 μB per formula unit

```
data_Tm2SbRh
_chemical_formula_sum 'Tm2 Sb1 Rh1'
_symmetry_space_group_name_H-M 'P 4/m m m'
_symmetry_Int_Tables_number 123
_symmetry_space_group_name_Hall '-P 4 2'
_cell_length_a 3.4997
_cell_length_b 3.4997
_cell_length_c 7.4393
_cell_angle_alpha 90.00
_cell_angle_beta 90.00
_cell_angle_gamma 90.00
loop_
_atom_site_label
_atom_site_type_symbol
_atom_site_fract_x
_atom_site_fract_y
_atom_site_fract_z
Tm1 Tm 0.0000 0.0000 0.2191
Sb1 Sb 0.5000 0.5000 0.5000
Rh1 Rh 0.5000 0.5000 0.0000
```

7.
Compound: Pu3Np3PdS8
Source: the Alexandria database
Functional: PBE-GGA
Structure: relaxed

* DFT total energy: -9.316 eV per atom
* density of states at the Fermi level: 111.89 states/eV per cell
* E_form (uncorrected): -1.31 eV/atom
* total magnetization: 4.63 μB per formula unit

```
data_Pu3Np3PdS8
_chemical_formula_sum 'Pu6 Np6 Pd2 S16'
_symmetry_space_group_name_H-M 'C 1 2/m 1'
_symmetry_Int_Tables_number 12
_symmetry_space_group_name_Hall '-C 2y'
_cell_length_a 13.3350
_cell_length_b 7.6968
_cell_length_c 7.8210
_cell_angle_alpha 90.00
_cell_angle_beta 124.64
_cell_angle_gamma 90.00
loop_
_atom_site_label
_atom_site_type_symbol
_atom_site_fract_x
_atom_site_fract_y
_atom_site_fract_z
Pu1 Pu 0.0000 0.0000 0.0000
Pu2 Pu 0.2500 0.2500 0.0000
Np1 Np 0.0000 0.5000 0.5000
Np2 Np 0.2500 0.2500 0.5000
Pd1 Pd 0.0000 0.0000 0.5000
S1 S 0.0016 0.2492 0.2555
S2 S 0.2486 0.0000 0.7454
S3 S 0.2502 0.0000 0.2507
```